# TlHg2MoF6 | Alexandria | PBE+U | optimized geometry
data_TlHg2MoF6
_chemical_formula_sum 'Tl2 Hg4 Mo2 F12'
_cell_length_a 11.563
_cell_length_b 7.722
_cell_length_c 6.314
_cell_angle_alpha 90.00
_cell_angle_beta 123.04
_cell_angle_gamma 90.00
_symmetry_space_group_name_H-M 'C 1 2/m 1'
_symmetry_Int_Tables_number 12
_symmetry_space_group_name_Hall '-C 2y'
loop_
_atom_site_label
_atom_site_type_symbol
_atom_site_fract_x
_atom_site_fract_y
_atom_site_fract_z
Tl1 Tl 0.000 0.000 0.000
Hg1 Hg 0.195 0.000 0.696
Mo1 Mo 0.000 0.500 0.500
F1 F 0.000 0.328 0.280
F2 F 0.202 0.500 0.701
# VASP energy: -79.28 eV/cell
# V: 472.6 Å³/cell